Record 1
5
Lattice="5.751 0.000 0.000 0.000 5.751 0.000 0.000 0.000 4.741" Properties=species:S:1:pos:R:3 comment="Ba2SbHPb, optimized geometry, DFT GGA-PBE" m_tot_mub_per_cell=0.00 space_group=P4/mmm dos_ef_per_ev_atom=0.4501 final_energy_ev_per_atom=-3.5068 pbc="T T T"
Ba 0.000 2.876 0.000
Ba 2.876 0.000 0.000
Sb 0.000 0.000 2.371
H 2.876 2.876 0.000
Pb 2.876 2.876 2.371

=====

Record 2
5
Lattice="5.316 0.000 0.000 0.000 5.316 0.000 0.000 0.000 6.913" Properties=species:S:1:pos:R:3 comment="BaTi2HPb, optimized geometry, DFT GGA-PBE" m_tot_mub_per_cell=4.97 space_group=P4/mmm dos_ef_per_ev_atom=1.2101 final_energy_ev_per_atom=-3.8905 pbc="T T T"
Ba 0.000 0.000 0.000
Ti 0.000 2.658 3.457
Ti 2.658 0.000 3.457
H 2.658 2.658 0.000
Pb 0.000 0.000 3.457

=====

Record 3
5
Lattice="5.209 0.000 0.000 0.000 5.209 0.000 0.000 0.000 5.166" Properties=species:S:1:pos:R:3 comment="BaTl2HPb, optimized geometry, DFT GGA-PBE" m_tot_mub_per_cell=0.00 space_group=P4/mmm dos_ef_per_ev_atom=0.6700 final_energy_ev_per_atom=-2.9056 pbc="T T T"
Ba 0.000 0.000 0.000
Tl 0.000 2.604 2.583
Tl 2.604 0.000 2.583
H 0.000 0.000 2.583
Pb 2.604 2.604 0.000

=====

Record 4
5
Lattice="5.132 0.000 0.000 0.000 5.132 0.000 0.000 0.000 5.309" Properties=species:S:1:pos:R:3 comment="BaTlHPb2, optimized geometry, DFT GGA-PBE" m_tot_mub_per_cell=0.00 space_group=P4/mmm dos_ef_per_ev_atom=0.5321 final_energy_ev_per_atom=-3.1609 pbc="T T T"
Ba 0.000 0.000 0.000
Tl 2.566 2.566 0.000
H 0.000 0.000 2.655
Pb 0.000 2.566 2.655
Pb 2.566 0.000 2.655

=====

Record 5
5
Lattice="5.567 0.000 0.000 0.000 5.567 0.000 0.000 0.000 4.724" Properties=species:S:1:pos:R:3 comment="Ba2ZnHPb, optimized geometry, DFT GGA-PBE" m_tot_mub_per_cell=0.00 space_group=P4/mmm dos_ef_per_ev_atom=0.4834 final_energy_ev_per_atom=-2.7500 pbc="T T T"
Ba 0.000 2.784 0.000
Ba 2.784 0.000 0.000
Zn 0.000 0.000 2.362
H 0.000 0.000 0.000
Pb 2.784 2.784 2.362

=====

Record 6
4
Lattice="3.958 -2.271 0.000 3.958 2.271 0.000 -0.023 0.000 5.774" Properties=species:S:1:pos:R:3 comment="BaZnHPb, optimized geometry, DFT GGA-PBE" m_tot_mub_per_cell=0.00 space_group=Cm dos_ef_per_ev_atom=0.3202 final_energy_ev_per_atom=-2.8718 pbc="T T T"
Ba 0.000 0.000 0.000
Zn 2.633 0.000 2.191
H 2.633 0.000 0.432
Pb 5.263 0.000 3.174

=====

Record 7
4
Lattice="0.000 3.436 3.436 3.436 0.000 3.436 3.436 3.436 0.000" Properties=species:S:1:pos:R:3 comment="BaHPd2, optimized geometry, DFT GGA-PBE" m_tot_mub_per_cell=0.00 space_group=Fm-3m dos_ef_per_ev_atom=0.2796 final_energy_ev_per_atom=-3.5329 pbc="T T T"
Ba 0.000 0.000 0.000
H 3.436 3.436 3.436
Pd 1.718 1.718 1.718
Pd 5.154 5.154 5.154

=====

Record 8
10
Lattice="5.021 0.000 0.000 -2.511 4.354 0.000 -0.009 -2.886 5.546" Properties=species:S:1:pos:R:3 comment="BaH6Pd3, optimized geometry, DFT GGA-PBE" m_tot_mub_per_cell=0.00 space_group=P1 dos_ef_per_ev_atom=0.2234 final_energy_ev_per_atom=-4.0350 pbc="T T T"
Ba 0.000 0.000 0.000
H -1.304 2.310 1.243
H -0.844 1.550 3.268
H 1.758 -0.034 3.266
H 1.164 2.070 1.246
H 2.648 -0.018 1.244
H 4.114 -1.498 3.257
Pd 0.000 0.009 3.246
Pd -0.001 2.908 2.289
Pd 2.511 1.455 2.205